Entry 1:
Compound: Sb
Source: Alexandria via LeMat-Bulk
Functional: PBE
Structure: optimized geometry

Calculated values
* calculated total energy: -3.96 eV/atom
* SG: P6_3/mmc, No. 194
* D(E_F): 1.2 states/eV per cell
* formation energy without anion corrections: 158 meV/atom
* energy relative to the lowest polymorph listed for this composition: 158 meV per atom
* total moment: 0.00 μB/f.u.

Cell: 5.2673 5.2673 6.5736 Å, 90.00 90.00 120.00°
Fractional coordinates of all 4 atoms:
Sb: 0.3333 0.6667 0.0289
Sb: 0.3333 0.6667 0.4711
Sb: 0.6667 0.3333 0.5289
Sb: 0.6667 0.3333 0.9711


Entry 2:
Compound: SbSeS2N
Source: Alexandria via LeMat-Bulk
Functional: PBE
Structure: optimized geometry

Calculated values
* calculated total energy: -3.76 eV/atom
* SG: P4/mmm, No. 123
* D(E_F): 3.2 states/eV per cell
* formation energy without anion corrections: 1080 meV/atom
* energy relative to the lowest polymorph listed for this composition: 188 meV per atom
* total moment: 0.00 μB/f.u.

Cell: 5.1143 5.1143 3.8673 Å, 90.00 90.00 90.00°
Fractional coordinates of all 5 atoms:
Sb: 0.0000 0.0000 0.0000
Se: 0.5000 0.5000 0.5000
S: 0.0000 0.5000 0.0000
S: 0.5000 0.0000 0.0000
N: 0.0000 0.0000 0.5000


Entry 3:
Compound: RbYBrCl2
Source: Alexandria via LeMat-Bulk
Functional: PBE
Structure: optimized geometry

Calculated values
* calculated total energy: -4.34 eV/atom
* SG: P4/mmm, No. 123
* D(E_F): 2.6 states/eV per cell
* formation energy without anion corrections: -1777 meV/atom
* total moment: 0.00 μB/f.u.

Cell: 5.3478 5.3478 5.6652 Å, 90.00 90.00 90.00°
Fractional coordinates of all 5 atoms:
Rb: 0.0000 0.0000 0.0000
Y: 0.5000 0.5000 0.5000
Br: 0.5000 0.5000 0.0000
Cl: 0.0000 0.5000 0.5000
Cl: 0.5000 0.0000 0.5000


Repeat the second record exactly.
Compound: SbSeS2N
Source: Alexandria via LeMat-Bulk
Functional: PBE
Structure: optimized geometry

Calculated values
* calculated total energy: -3.76 eV/atom
* SG: P4/mmm, No. 123
* D(E_F): 3.2 states/eV per cell
* formation energy without anion corrections: 1080 meV/atom
* energy relative to the lowest polymorph listed for this composition: 188 meV per atom
* total moment: 0.00 μB/f.u.

Cell: 5.1143 5.1143 3.8673 Å, 90.00 90.00 90.00°
Fractional coordinates of all 5 atoms:
Sb: 0.0000 0.0000 0.0000
Se: 0.5000 0.5000 0.5000
S: 0.0000 0.5000 0.0000
S: 0.5000 0.0000 0.0000
N: 0.0000 0.0000 0.5000


The highest D(E_F) belongs to which entry? SbSeS2N


Which value of D(E_F) does entry 2 give? 3.2 states/eV per cell


Among the records above, which one has the highest formation energy without anion corrections? SbSeS2N